No. 1
This record from the Alexandria database describes a geometry-optimized Cr2AgBrF structure. The functional is PBE+U.

Its crystal system is tetragonal.

It has space group P4/mmm (No. 123), with a = 5.405 Å, b = 5.405 Å, c = 4.987 Å, α = 90.00°, β = 90.00° and γ = 90.00°. The inequivalent atoms are Cr at (0.000, 0.500, 0.000), Ag at (0.000, 0.000, 0.000), Br at (0.000, 0.000, 0.500) and F at (0.500, 0.500, 0.500).

No. 2
This record from the Alexandria database describes a geometry-optimized CrAg3Br2F6 structure. The functional is PBE+U.

Its crystal system is monoclinic.

It has space group C2/m (No. 12), with a = 12.498 Å, b = 6.432 Å, c = 5.270 Å, α = 90.00°, β = 92.10° and γ = 90.00°. The inequivalent atoms are Cr at (0.000, 0.000, 0.000), Ag at (0.000, 0.500, 0.500), Ag at (0.250, 0.250, 0.000), Br at (0.196, 0.500, 0.356), F at (0.067, 0.219, 0.805) and F at (0.129, 0.000, 0.205).

N(E_F) for the records above, in order: 0.279 0.684 states/eV/atom
Energy for the records above, in order: -3.98 -3.95 eV/atom